Entry 1:
Ta4PC2 | the Alexandria database | PBE | relaxed; DOS at the Fermi energy = 6.43 states/eV/cell; DFT formation energy = -0.6166 eV/atom
1.0
1.631 -5.273 0.000
1.631 5.273 0.000
0.000 0.000 10.921
Ta P C
8 2 4
direct
0.000 0.000 0.000
0.000 0.000 0.500
0.268 0.732 0.612
0.268 0.732 0.888
0.436 0.564 0.250
0.564 0.436 0.750
0.732 0.268 0.112
0.732 0.268 0.388
0.111 0.889 0.250
0.889 0.111 0.750
0.365 0.635 0.063
0.365 0.635 0.437
0.635 0.365 0.563
0.635 0.365 0.937

=====

Entry 2:
Rb3Pb5Br12 | the Alexandria database | PBE | relaxed; DOS at the Fermi energy = 33.37 states/eV/cell; uncorrected energy = -3.1353 eV/atom
1.0
-9.583 9.583 9.583
9.583 -9.583 9.583
9.583 9.583 -9.583
Rb Pb Br
12 20 48
direct
0.125 0.250 0.375
0.125 0.375 0.750
0.250 0.375 0.125
0.250 0.875 0.625
0.375 0.125 0.250
0.375 0.750 0.125
0.625 0.250 0.875
0.625 0.875 0.750
0.750 0.125 0.375
0.750 0.625 0.875
0.875 0.625 0.250
0.875 0.750 0.625
0.000 0.000 0.000
0.000 0.000 0.500
0.000 0.500 0.000
0.000 0.500 0.500
0.125 0.750 0.875
0.125 0.875 0.250
0.250 0.125 0.875
0.250 0.625 0.375
0.375 0.250 0.625
0.375 0.625 0.750
0.500 0.000 0.000
0.500 0.000 0.500
0.500 0.500 0.000
0.500 0.500 0.500
0.625 0.375 0.250
0.625 0.750 0.375
0.750 0.375 0.625
0.750 0.875 0.125
0.875 0.125 0.750
0.875 0.250 0.125
0.032 0.206 0.120
0.032 0.326 0.912
0.086 0.706 0.674
0.086 0.880 0.412
0.088 0.620 0.414
0.088 0.968 0.674
0.120 0.032 0.206
0.120 0.588 0.914
0.174 0.206 0.586
0.174 0.468 0.588
0.206 0.120 0.032
0.206 0.586 0.174
0.294 0.326 0.914
0.294 0.468 0.380
0.326 0.912 0.032
0.326 0.914 0.294
0.380 0.294 0.468
0.380 0.586 0.912
0.412 0.086 0.880
0.412 0.826 0.532
0.414 0.088 0.620
0.414 0.826 0.794
0.468 0.380 0.294
0.468 0.588 0.174
0.532 0.412 0.826
0.532 0.620 0.706
0.586 0.174 0.206
0.586 0.912 0.380
0.588 0.174 0.468
0.588 0.914 0.120
0.620 0.414 0.088
0.620 0.706 0.532
0.674 0.086 0.706
0.674 0.088 0.968
0.706 0.532 0.620
0.706 0.674 0.086
0.794 0.414 0.826
0.794 0.880 0.968
0.826 0.532 0.412
0.826 0.794 0.414
0.880 0.412 0.086
0.880 0.968 0.794
0.912 0.032 0.326
0.912 0.380 0.586
0.914 0.120 0.588
0.914 0.294 0.326
0.968 0.674 0.088
0.968 0.794 0.880

=====

Entry 3:
KCaCr2Fe | the Alexandria database | PBE | relaxed; DOS at the Fermi energy = 5.19 states/eV/cell; DFT formation energy = 0.8880 eV/atom
1.0
4.717 0.000 0.000
0.000 4.717 0.000
0.000 0.000 5.464
K Ca Cr Fe
1 1 2 1
direct
0.000 0.000 0.000
0.500 0.500 0.000
0.000 0.500 0.500
0.500 0.000 0.500
0.500 0.500 0.500

=====

Entry 4:
Li2Ni5Ru | the Alexandria database | PBE | relaxed; DOS at the Fermi energy = 17.69 states/eV/cell; DFT formation energy = 0.0522 eV/atom
1.0
5.977 0.000 0.000
0.000 5.977 0.000
0.000 0.000 5.157
Li Ni Ru
4 10 2
direct
0.000 0.500 0.000
0.000 0.500 0.500
0.500 0.000 0.000
0.500 0.000 0.500
0.000 0.000 0.000
0.250 0.250 0.250
0.250 0.250 0.750
0.250 0.750 0.250
0.250 0.750 0.750
0.500 0.500 0.500
0.750 0.250 0.250
0.750 0.250 0.750
0.750 0.750 0.250
0.750 0.750 0.750
0.000 0.000 0.500
0.500 0.500 0.000

=====

Entry 5:
LiAcNiH6 | the Alexandria database | PBE | relaxed; DOS at the Fermi energy = 1.75 states/eV/cell; uncorrected energy = -3.8837 eV/atom
1.0
4.572 0.000 0.000
-2.286 3.959 0.000
0.000 0.000 4.678
Li Ac Ni H
1 1 1 6
direct
0.000 0.000 0.000
0.667 0.333 0.500
0.333 0.667 0.000
0.180 0.361 0.231
0.180 0.361 0.769
0.180 0.820 0.231
0.180 0.820 0.769
0.639 0.820 0.231
0.639 0.820 0.769

=====

Entry 6:
LaSm2ErS6 | the Alexandria database | PBE | relaxed; DOS at the Fermi energy = 0.00 states/eV/cell; uncorrected energy = -6.4297 eV/atom
1.0
3.548 2.049 6.250
-3.548 2.049 6.250
0.000 -4.097 6.250
La Sm Er S
1 2 1 6
direct
0.000 0.000 0.000
0.288 0.288 0.288
0.793 0.793 0.793
0.493 0.493 0.493
0.099 0.677 0.407
0.203 0.594 0.881
0.407 0.099 0.677
0.594 0.881 0.203
0.677 0.407 0.099
0.881 0.203 0.594